No. 1
The following is a DFT calculation (PBE) of a relaxed structure of Er3Mg7Sc.

a = 10.7493 Å, b = 10.3207 Å, c = 5.8653 Å
α = 90.00°, β = 110.47°, γ = 90.00°
Space group C2/m (No. 12)
Unique sites:
Er1 0.0000 0.0000 0.0000 [2 per cell]
Er2 0.0000 0.1957 0.5000 [4 per cell]
Mg1 0.0000 0.5000 0.5000 [2 per cell]
Mg2 0.1763 0.2517 0.1688 [8 per cell]
Mg3 0.2371 0.0000 0.5291 [4 per cell]
Sc1 0.0000 0.5000 0.0000 [2 per cell]

## Properties
Crystal system   monoclinic
Total DFT energy (no corrections)   -2.619 eV per atom


No. 2
The following is a DFT calculation (PBE) of a relaxed structure of Tb4Mg3Sn.

a = 5.3426 Å, b = 5.3426 Å, c = 26.2283 Å
α = 90.00°, β = 90.00°, γ = 120.00°
Space group R-3m (No. 166, hexagonal axes)
Unique sites:
Tb1 0.0000 0.0000 0.1241 [6 per cell]
Tb2 0.0000 0.0000 0.3745 [6 per cell]
Mg1 0.0000 0.0000 0.2456 [6 per cell]
Mg2 0.0000 0.0000 0.5000 [3 per cell]
Sn1 0.0000 0.0000 0.0000 [3 per cell]

## Properties
Crystal system   trigonal
Total DFT energy (no corrections)   -3.684 eV per atom


No. 3
The following is a DFT calculation (PBE) of a relaxed structure of Y2ThTcC4.

a = 3.5179 Å, b = 12.1303 Å, c = 12.1653 Å
α = 90.00°, β = 90.00°, γ = 90.00°
Space group Cmcm (No. 63)
Unique sites:
Y1 0.0000 0.1291 0.0408 [8 per cell]
Th1 0.0000 0.4091 0.2500 [4 per cell]
Tc1 0.0000 0.3297 0.7500 [4 per cell]
C1 0.0000 0.0783 0.2500 [4 per cell]
C2 0.0000 0.2309 0.6319 [8 per cell]
C3 0.0000 0.5000 0.0000 [4 per cell]

## Properties
Crystal system   orthorhombic
Total DFT energy (no corrections)   -8.545 eV per atom


| no. | total magnetic moment (μB/f.u.) | formation energy (meV per atom) | density of states at the Fermi level (states/eV per cell) |
| --- | --- | --- | --- |
| 1 | 0.0 | 216 | 19.4 |
| 2 | 0.0 | -270 | 20.5 |
| 3 | 0.0 | -94 | 15.0 |